No. 1
LaPt2Pb PBE relaxed; space group = Amm2; crystal system = orthorhombic; DFT formation energy = -0.786 eV/atom
1.0
-0.645 -2.895 -4.838
3.341 -2.633 -3.756
-0.370 -3.684 2.253
Pb Pt La
1 2 1
Cartesian
0.582 -1.749 -1.722
2.545 -5.773 -7.979
1.899 -6.672 -5.384
1.158 -5.150 -3.021

=====

No. 2
Ca2ZrZn PBE relaxed; space group = Pm; crystal system = monoclinic; DFT formation energy = 0.177 eV/atom
1.0
-2.317 -3.718 2.265
2.577 -0.070 2.521
-2.009 4.146 4.751
Zn Ca Zr
1 2 1
Cartesian
0.710 2.102 4.176
0.571 3.870 6.937
-1.024 -0.630 3.288
-1.155 1.131 6.044

=====

No. 3
KMgMn PBE relaxed; space group = Imm2; crystal system = orthorhombic; DFT formation energy = 0.591 eV/atom
1.0
-5.734 -1.661 -3.506
-3.570 -5.885 -0.743
2.858 5.072 3.747
K Mg Mn
1 1 1
Cartesian
-0.006 -0.005 -0.003
-2.611 -2.117 -1.192
-6.687 -5.423 -3.054

=====

No. 4
SnIr2Rh2 PBE relaxed; space group = P4/mbm; crystal system = tetragonal; DFT formation energy = 0.183 eV/atom
1.0
6.755 0.000 0.000
0.000 6.755 0.000
0.000 0.000 3.693
Ir Rh Sn
4 4 2
Cartesian
2.487 5.864 0.000
5.864 4.268 0.000
4.268 0.890 0.000
0.890 2.487 0.000
1.040 4.417 1.846
4.417 5.715 1.846
5.715 2.337 1.846
2.337 1.040 1.846
0.000 0.000 0.000
3.377 3.377 0.000

=====

No. 5
TaCrSb2 PBE relaxed; space group = C2/m; E_form (uncorrected) = 0.42 eV per atom; crystal system = monoclinic
1.0
-3.980 -1.844 -1.830
-1.457 -1.895 -4.108
0.853 -5.380 1.066
Cr Sb Ta
1 2 1
Cartesian
-3.438 -6.839 -3.654
-5.393 -3.748 -5.889
-2.336 -4.549 -2.485
-1.146 -2.280 -1.218

=====

No. 6
DyThAu4 PBE relaxed; space group = P4/mmm; crystal system = tetragonal; DFT formation energy = -0.756 eV/atom
1.0
-1.316 -2.629 -2.444
2.067 -2.683 1.773
-7.079 -1.716 5.657
Dy Th Au
1 1 4
Cartesian
-2.506 -2.199 3.715
-0.658 -1.314 -1.222
-4.818 -2.760 5.562
-1.510 -4.268 -0.576
-5.330 -2.447 2.511
-0.998 -4.581 2.475

=====

No. 7
InB PBE relaxed; space group = I4/mmm; crystal system = tetragonal; DFT formation energy = 0.523 eV/atom
1.0
10.415 0.000 0.000
0.000 10.415 0.000
0.000 0.000 3.175
In B
8 8
Cartesian
8.304 5.207 0.000
2.111 5.207 0.000
5.207 2.111 0.000
5.207 8.304 0.000
3.096 0.000 1.588
7.318 0.000 1.588
0.000 7.318 1.588
0.000 3.096 1.588
2.676 2.676 0.000
2.676 7.739 0.000
7.739 2.676 0.000
7.739 7.739 0.000
7.883 7.883 1.588
7.883 2.532 1.588
2.532 7.883 1.588
2.532 2.532 1.588

=====

No. 8
CuHBr PBE relaxed; space group = P4/mmm; VASP energy = -8.7 eV per cell; crystal system = tetragonal
1.0
-2.428 -2.136 1.754
2.335 -2.835 -0.219
1.345 0.881 2.933
Cu H Br
1 1 1
Cartesian
1.585 -2.384 -0.010
2.255 -1.940 1.456
-0.797 -2.033 0.976

=====

Number 1: density of states at the Fermi level 2.0 states/eV/cell. Number 2: density of states at the Fermi level 3.1 states/eV/cell. Number 3: density of states at the Fermi level 2.4 states/eV/cell. Number 4: density of states at the Fermi level 11.2 states/eV/cell. Number 5: density of states at the Fermi level 4.0 states/eV/cell. Number 6: density of states at the Fermi level 2.6 states/eV/cell. Number 7: density of states at the Fermi level 7.3 states/eV/cell. Number 8: density of states at the Fermi level 1.3 states/eV/cell.